Below is a geometry-optimized InRe3Sb structure, with properties calculated at the GGA-PBE level.

Lattice parameters (Å, degrees): 4.8566 4.8566 4.8566 90.00 90.00 90.00
Sites, in units of the cell vectors:
Re  0.0000  0.5000  0.0000
Re  0.0000  0.0000  0.5000
Re  0.5000  0.0000  0.0000
In  0.5000  0.5000  0.5000
Sb  0.0000  0.0000  0.0000

Calculated values
* energy above the lowest structure with this stoichiometry: 0.0 meV per atom
* ΔE_f (raw): 2.36 eV per atom
* magnetization: 2.253 μB/f.u.